[1]
Compound: CoAgIN2
Source: Alexandria
Functional: SCAN
Structure: single point on PBEsol structure

a = 3.6583 Å, b = 3.6583 Å, c = 6.9676 Å
α = 90.00°, β = 90.00°, γ = 90.00°
Space group P4/mmm (No. 123)
Inequivalent atoms, fractional coordinates:
1 Co 0.0000 0.0000 0.0000 (multiplicity 1)
2 Ag 0.5000 0.5000 0.5000 (multiplicity 1)
3 I 0.0000 0.0000 0.5000 (multiplicity 1)
4 N 0.0000 0.5000 0.0000 (multiplicity 2)

Summary:
- total moment (Bohr magnetons per cell) = 0.72
- density of states at the Fermi level (states/eV/cell) = 2.31
- ΔE_f (raw) (eV/atom) = 1.2088
- energy (Ry/atom) = -1.440

[2]
Compound: HgOsSe4
Source: Alexandria
Functional: SCAN
Structure: single point on PBEsol structure

a = 7.7892 Å, b = 7.7892 Å, c = 7.7892 Å
α = 90.00°, β = 90.00°, γ = 90.00°
Space group F-43m (No. 216)
Inequivalent atoms, fractional coordinates:
1 Hg 0.0000 0.0000 0.0000 (multiplicity 4)
2 Os 0.2500 0.2500 0.7500 (multiplicity 4)
3 Se 0.1243 0.1243 0.3757 (multiplicity 16)

Summary:
- total moment (Bohr magnetons per cell) = 8.75
- density of states at the Fermi level (states/eV/cell) = 18.94
- ΔE_f (raw) (eV/atom) = 1.4413
- energy (Ry/atom) = -2.593

[3]
Compound: Cr2SbI
Source: Alexandria
Functional: SCAN
Structure: single point on PBEsol structure

a = 7.0919 Å, b = 7.0919 Å, c = 8.3367 Å
α = 90.00°, β = 90.00°, γ = 90.00°
Space group I-42d (No. 122)
Inequivalent atoms, fractional coordinates:
1 Cr 0.2354 0.7500 0.1250 (multiplicity 8)
2 Sb 0.0000 0.0000 0.0000 (multiplicity 4)
3 I 0.0000 0.0000 0.5000 (multiplicity 4)

Summary:
- total moment (Bohr magnetons per cell) = 32.00
- density of states at the Fermi level (states/eV/cell) = 2.67
- ΔE_f (raw) (eV/atom) = 0.1091
- energy (Ry/atom) = -2.027